1.
Material: TaPBr2
Method: DFT, GGA-PBE
State: optimized geometry

Lattice parameters (Å, degrees): 11.055 11.055 11.055 16.59 16.59 16.59
Last column: magnetic moment on the atom in μB.
Fractional positions:
Br 0.024 0.024 0.024  0.00
Br 0.476 0.476 0.476  0.00
P 0.250 0.250 0.250  0.22
Ta 0.750 0.750 0.750  0.01

Crystal system = trigonal
Polymorph energy (0 for the lowest one) = 702 meV per atom
Formation energy without anion corrections = 0.28 eV per atom
Spin magnetization = 0.1293 μB per atom
Energy = -19.5 eV/cell
Space group = R-3m (166)

***

2.
Material: Sr3Cd2AgHg6
Method: DFT, GGA-PBE
State: optimized geometry

Lattice parameters (Å, degrees): 6.419 6.419 9.672 90.00 90.00 120.00
Fractional positions:
Hg 0.825 0.650 0.728
Hg 0.350 0.175 0.728
Hg 0.175 0.825 0.272
Hg 0.825 0.175 0.728
Hg 0.175 0.350 0.272
Hg 0.650 0.825 0.272
Sr 0.000 0.000 0.000
Sr 0.667 0.333 0.393
Sr 0.333 0.667 0.607
Cd 0.667 0.333 0.028
Cd 0.333 0.667 0.972
Ag 0.000 0.000 0.500

Crystal system = trigonal
Calculated formation energy = -0.258 eV per atom
Spin magnetization = 0.0000 μB per atom
Energy = -14.6 eV/cell
Space group = P-3m1 (164)

***

3.
Material: MgTl2Sb
Method: DFT, GGA-PBE
State: optimized geometry

Lattice parameters (Å, degrees): 5.284 5.284 6.933 81.62 81.62 37.17
Fractional positions:
Mg 0.500 0.500 0.484
Tl 0.760 0.760 0.726
Tl 0.002 0.002 0.992
Sb 0.237 0.237 0.298

Crystal system = monoclinic
Polymorph energy (0 for the lowest one) = 29 meV per atom
Formation energy without anion corrections = -0.03 eV per atom
Spin magnetization = 0.0000 μB per atom
Energy = -10.6 eV/cell
Space group = Cm (8)

***

4.
Material: B5C7
Method: DFT, GGA-PBE
State: optimized geometry

Lattice parameters (Å, degrees): 2.643 4.710 6.478 90.95 90.00 90.00
Fractional positions:
B 0.500 0.099 0.898
B 0.500 0.569 0.024
B 0.500 0.833 0.331
B 0.000 0.654 0.667
B 0.000 0.333 0.328
C 0.500 0.843 0.588
C 0.000 0.675 0.920
C 0.000 0.323 0.595
C 0.500 0.164 0.649
C 0.000 0.996 0.006
C 0.000 0.014 0.240
C 0.500 0.499 0.254

Crystal system = monoclinic
Polymorph energy (0 for the lowest one) = 129 meV per atom
Calculated formation energy = 0.387 eV per atom
Spin magnetization = 0.0000 μB per atom
Energy = -93.3 eV/cell
Space group = Pm (6)

***

5.
Material: FeCoNiRh
Method: DFT, GGA-PBE
State: optimized geometry

Lattice parameters (Å, degrees): 4.120 4.120 4.120 60.00 60.00 60.00
Last column: magnetic moment on the atom in μB.
Fractional positions:
Fe 0.000 0.000 0.000  2.92
Ni 0.500 0.500 0.500  0.73
Rh 0.250 0.250 0.250  0.74
Co 0.750 0.750 0.750  1.83

Crystal system = cubic
Polymorph energy (0 for the lowest one) = 0 meV per atom
Calculated formation energy = 0.073 eV per atom
Spin magnetization = 1.5281 μB per atom
Energy = -28.4 eV/cell
Space group = F-43m (216)

***

6.
Material: NaB2I
Method: DFT, GGA-PBE
State: optimized geometry

Lattice parameters (Å, degrees): 4.690 4.690 4.690 60.00 60.00 60.00
Fractional positions:
B 0.250 0.250 0.250
B 0.750 0.750 0.750
Na 0.000 0.000 0.000
I 0.500 0.500 0.500

Crystal system = cubic
Polymorph energy (0 for the lowest one) = 209 meV per atom
Formation energy without anion corrections = 1.84 eV per atom
Spin magnetization = 0.0000 μB per atom
Energy = -8.8 eV/cell
Space group = Fm-3m (225)

***

Question: spin magnetization of number 3 (MgTl2Sb)?
Answer: 0.0000 μB per atom